Computed, not measured: a relaxed structure of MnNi5Pt at the GGA-PBE level of DFT.

**E_tot**: -6.235 eV/atom
**Crystal system**: orthorhombic

Lattice parameters (Å, degrees): 6.164 6.164 6.164 109.09 102.99 116.63
Positions (direct):
Mn (0.500, 0.000, 0.000)
Mn (0.500, 0.500, 0.500)
Ni (0.000, 0.253, 0.253)
Ni (0.000, 0.747, 0.747)
Ni (0.208, 0.958, 0.250)
Ni (0.259, 0.236, 0.023)
Ni (0.287, 0.764, 0.523)
Ni (0.500, 0.253, 0.753)
Ni (0.500, 0.747, 0.247)
Ni (0.713, 0.236, 0.477)
Ni (0.741, 0.764, 0.977)
Ni (0.792, 0.042, 0.750)
Pt (0.202, 0.452, 0.750)
Pt (0.798, 0.548, 0.250)